Entry 1:
The following is a DFT calculation (PBE) of a relaxed structure of YHfNi2Rh.

Geometry as POSCAR:
```
YHfNi2Rh
1.0
-4.260 -1.838 0.413
1.358 -2.222 4.125
-1.366 3.718 2.452
Y Hf Rh Ni
1 1 1 2
direct
0.000 0.500 0.000
0.500 0.500 0.500
0.000 0.000 0.000
0.500 0.000 0.000
0.000 0.000 0.500
```

- ΔH_f (0 K) (eV/atom) = 0.721
- VASP energy (eV for the cell shown) = -31.73
- space group = P4/mmm (123)


Entry 2:
The following is a DFT calculation (PBE) of a relaxed structure of HfZnNiRh.

Geometry as POSCAR:
```
HfZnNiRh
1.0
-4.091 0.249 -0.197
-0.303 -3.825 1.453
2.115 3.044 2.662
Hf Zn Rh Ni
1 1 1 1
direct
0.500 0.500 0.000
0.000 0.000 0.000
0.750 0.250 0.500
0.250 0.750 0.500
```

- energy relative to the lowest polymorph listed for this composition (meV per atom) = 0
- ΔH_f (0 K) (eV/atom) = -0.606
- VASP energy (eV for the cell shown) = -26.78
- space group = I-4m2 (119)


Entry 3:
The following is a DFT calculation (PBE) of a relaxed structure of HfZnNiRh.

Geometry as POSCAR:
```
HfZnNiRh
1.0
-3.152 -1.502 -2.656
-0.350 -4.304 -0.774
-3.374 -2.260 1.659
Zn Ni Rh Hf
1 1 1 1
direct
0.500 0.500 0.500
0.250 0.250 0.250
0.750 0.750 0.750
0.000 0.000 0.000
```

- energy relative to the lowest polymorph listed for this composition (meV per atom) = 22
- ΔH_f (0 K) (eV/atom) = -0.584
- VASP energy (eV for the cell shown) = -26.70
- space group = F-43m (216)


Entry 4:
The following is a DFT calculation (PBE) of a relaxed structure of Hf6NiRu5.

Geometry as POSCAR:
```
Hf6NiRu5
1.0
4.407 0.019 -1.286
-0.885 5.663 -2.949
-0.080 0.446 7.926
Hf Ru Ni
6 5 1
direct
0.834 0.083 0.668
0.500 0.249 0.000
0.166 0.917 0.332
0.166 0.415 0.332
0.834 0.585 0.668
0.500 0.751 0.000
0.333 0.833 0.667
0.334 0.334 0.668
0.000 0.500 0.000
0.667 0.167 0.333
0.666 0.666 0.332
0.000 0.000 0.000
```

- ΔH_f (0 K) (eV/atom) = -0.728
- VASP energy (eV for the cell shown) = -120.61
- space group = Immm (71)


Entry 5:
The following is a DFT calculation (PBE) of a relaxed structure of HfNiRu3.

Geometry as POSCAR:
```
HfNiRu3
1.0
-3.449 2.126 1.777
-2.292 -3.784 0.078
1.558 -0.860 4.051
Ni Ru Hf
1 3 1
direct
0.000 0.000 0.000
0.000 0.000 0.500
0.000 0.500 0.000
0.500 0.000 0.000
0.500 0.500 0.500
```

- energy relative to the lowest polymorph listed for this composition (meV per atom) = 0
- ΔH_f (0 K) (eV/atom) = 0.877
- VASP energy (eV for the cell shown) = -39.18
- space group = Pm-3m (221)


Entry 6:
The following is a DFT calculation (PBE) of a relaxed structure of Hf2NiRu2.

Geometry as POSCAR:
```
Hf2NiRu2
1.0
-3.459 1.780 -5.229
-3.895 -5.161 0.820
-2.394 2.176 2.324
Hf Ni Ru
4 2 4
direct
0.178 0.678 0.500
0.678 0.822 0.500
0.822 0.322 0.500
0.322 0.178 0.500
0.500 0.500 0.000
0.000 0.000 0.000
0.364 0.864 0.000
0.636 0.136 0.000
0.864 0.636 0.000
0.136 0.364 0.000
```

- energy relative to the lowest polymorph listed for this composition (meV per atom) = 0
- ΔH_f (0 K) (eV/atom) = -0.317
- VASP energy (eV for the cell shown) = -91.65
- space group = P4/mbm (127)


Entry 7:
The following is a DFT calculation (PBE) of a relaxed structure of Hf6NiRu.

Geometry as POSCAR:
```
Hf6NiRu
1.0
7.177 0.090 -0.982
3.687 4.268 -1.412
2.686 0.546 4.725
Ru Ni Hf
1 1 6
direct
0.000 0.000 0.000
0.500 0.500 0.500
0.246 0.250 0.754
0.754 0.750 0.246
0.165 0.067 0.336
0.336 0.433 0.164
0.835 0.933 0.664
0.664 0.567 0.836
```

- ΔH_f (0 K) (eV/atom) = -0.108
- VASP energy (eV for the cell shown) = -75.64
- space group = C2/m (12)


Entry 8:
The following is a DFT calculation (PBE) of a relaxed structure of Hf2NiRu2.

Geometry as POSCAR:
```
Hf2NiRu2
1.0
4.344 0.000 0.000
0.000 4.344 0.000
2.172 2.172 5.279
Hf Ni Ru
2 1 2
direct
0.250 0.750 0.500
0.750 0.250 0.500
0.000 0.000 0.000
0.614 0.614 0.772
0.386 0.386 0.228
```

- energy relative to the lowest polymorph listed for this composition (meV per atom) = 719
- ΔH_f (0 K) (eV/atom) = 0.402
- VASP energy (eV for the cell shown) = -42.23
- space group = I4/mmm (139)